Arrangement 1

DFT (GGA-PBE) results for TmSnAuSe3 after structural relaxation.

Calculated values
**ρ**: 7.456 g/cm3

Lattice parameters (Å, degrees): 12.2201 4.1231 12.7568 90.00 90.00 90.00
Atoms (fractional coordinates):
Au 0.2979 0.7500 0.1051
Au 0.7979 0.7500 0.3949
Au 0.2021 0.2500 0.6051
Au 0.7021 0.2500 0.8949
Se 0.1001 0.7500 0.0540
Se 0.4834 0.7500 0.1850
Se 0.7519 0.2500 0.1985
Se 0.2519 0.2500 0.3015
Se 0.9834 0.7500 0.3150
Se 0.6001 0.7500 0.4460
Se 0.3999 0.2500 0.5540
Se 0.0166 0.2500 0.6850
Se 0.7481 0.7500 0.6985
Se 0.2481 0.7500 0.8015
Se 0.5166 0.2500 0.8150
Se 0.8999 0.2500 0.9460
Sn 0.6772 0.7500 0.0649
Sn 0.1772 0.7500 0.4351
Sn 0.8228 0.2500 0.5649
Sn 0.3228 0.2500 0.9351
Tm 0.9800 0.2500 0.1602
Tm 0.4800 0.2500 0.3398
Tm 0.5200 0.7500 0.6602
Tm 0.0200 0.7500 0.8398



Arrangement 2

DFT (GGA-PBE) results for TmSnAuSe3 after structural relaxation.

Calculated values
**ρ**: 8.208 g/cm3

Lattice parameters (Å, degrees): 10.6280 4.0439 13.5856 90.00 90.00 90.00
Atoms (fractional coordinates):
Au 0.2418 0.2500 0.2136
Au 0.7418 0.2500 0.2864
Au 0.2582 0.7500 0.7136
Au 0.7582 0.7500 0.7864
Se 0.4346 0.2500 0.0999
Se 0.0322 0.2500 0.1096
Se 0.7330 0.7500 0.1554
Se 0.2330 0.7500 0.3446
Se 0.5322 0.2500 0.3904
Se 0.9346 0.2500 0.4001
Se 0.0654 0.7500 0.5999
Se 0.4678 0.7500 0.6096
Se 0.7670 0.2500 0.6554
Se 0.2670 0.2500 0.8446
Se 0.9678 0.7500 0.8904
Se 0.5654 0.7500 0.9001
Sn 0.2273 0.7500 0.0169
Sn 0.7273 0.7500 0.4831
Sn 0.2727 0.2500 0.5169
Sn 0.7727 0.2500 0.9831
Tm 0.4822 0.7500 0.2449
Tm 0.9822 0.7500 0.2551
Tm 0.0178 0.2500 0.7449
Tm 0.5178 0.2500 0.7551



The structure with the least stability is arrangement 2.